A relaxed structure of Cs2GeH. Source: Alexandria, functional PBE-GGA.

Cell and atoms, written as CIF:
```
data_Cs2GeH
_chemical_formula_sum 'Cs2 Ge1 H1'
_symmetry_space_group_name_H-M 'P 1'
_symmetry_Int_Tables_number 1
_cell_length_a 4.275
_cell_length_b 6.421
_cell_length_c 6.421
_cell_angle_alpha 90.65
_cell_angle_beta 90.00
_cell_angle_gamma 90.00
loop_
_symmetry_equiv_pos_as_xyz
'x,y,z'
loop_
_atom_site_label
_atom_site_fract_x
_atom_site_fract_y
_atom_site_fract_z
Cs1 0.000 0.249 0.751
Cs2 0.000 0.751 0.249
Ge1 0.500 0.250 0.250
H1 0.500 0.066 0.066
```

size of the total moment = 0.000 μB/atom
final energy = -9.60 eV per cell
space-group type = Amm2
crystal system = orthorhombic
DOS(E_F) = 0.5960 states/eV per atom

=====

A relaxed structure of SrScPb. Source: Alexandria, functional PBE-GGA.

Cell and atoms, written as CIF:
```
data_SrScPb
_chemical_formula_sum 'Sr1 Sc1 Pb1'
_symmetry_space_group_name_H-M 'P 1'
_symmetry_Int_Tables_number 1
_cell_length_a 6.729
_cell_length_b 6.729
_cell_length_c 6.729
_cell_angle_alpha 148.85
_cell_angle_beta 142.04
_cell_angle_gamma 49.89
loop_
_symmetry_equiv_pos_as_xyz
'x,y,z'
loop_
_atom_site_label
_atom_site_fract_x
_atom_site_fract_y
_atom_site_fract_z
Sr1 0.000 0.000 0.000
Sc1 0.288 0.288 0.000
Pb1 0.691 0.691 0.000
```

size of the total moment = 0.169 μB/atom
space-group type = Imm2
crystal system = orthorhombic
calculated formation energy = -0.181 eV per atom
DOS(E_F) = 1.1797 states/eV per atom

=====

A relaxed structure of VPt2Rh6. Source: Alexandria, functional PBE-GGA.

Cell and atoms, written as CIF:
```
data_VPt2Rh6
_chemical_formula_sum 'V2 Pt4 Rh12'
_symmetry_space_group_name_H-M 'P 1'
_symmetry_Int_Tables_number 1
_cell_length_a 6.755
_cell_length_b 6.755
_cell_length_c 7.085
_cell_angle_alpha 115.05
_cell_angle_beta 115.05
_cell_angle_gamma 85.48
loop_
_symmetry_equiv_pos_as_xyz
'x,y,z'
loop_
_atom_site_label
_atom_site_fract_x
_atom_site_fract_y
_atom_site_fract_z
V1 0.149 0.851 0.750
V2 0.851 0.149 0.250
Pt1 0.203 0.432 0.565
Pt2 0.432 0.203 0.065
Pt3 0.568 0.797 0.935
Pt4 0.797 0.568 0.435
Rh1 0.010 0.194 0.680
Rh2 0.077 0.377 0.131
Rh3 0.194 0.010 0.180
Rh4 0.331 0.586 0.034
Rh5 0.377 0.077 0.631
Rh6 0.414 0.669 0.466
Rh7 0.586 0.331 0.534
Rh8 0.623 0.923 0.369
Rh9 0.669 0.414 0.966
Rh10 0.806 0.990 0.820
Rh11 0.923 0.623 0.869
Rh12 0.990 0.806 0.320
```

size of the total moment = 0.000 μB/atom
space-group type = C2/c
crystal system = monoclinic
calculated formation energy = -0.086 eV per atom
DOS(E_F) = 1.4200 states/eV per atom